Compound: ScFe2Mo
Source: Alexandria via LeMat-Bulk
Functional: PBE-GGA
Structure: optimized geometry

Lattice parameters (Å, degrees): 8.263 8.263 8.263 20.36 20.36 20.36
Fractional coordinates of all 4 atoms:
Sc 0.000 0.000 0.000
Fe 0.245 0.245 0.245
Fe 0.755 0.755 0.755
Mo 0.500 0.500 0.500

Electronic total energy (eV per cell): -32.72
Magnetic moment (Bohr magnetons per cell): 2.36